{"formula": "Ti10Sn4H3", "functional": "PBE", "state": "relaxed", "final_energy_ev_per_atom": -6.5646, "n_ef_per_ev_cell": 15.173, "lattice_angstrom": [[-2.0143, 2.0143, 16.1195], [2.0143, -2.0143, 16.1195], [2.0143, 2.0143, -16.1195]], "species": ["Ti", "Ti", "Ti", "Ti", "Ti", "Ti", "Ti", "Ti", "Ti", "Ti", "Sn", "Sn", "Sn", "Sn", "H", "H", "H"], "frac_coords": [[0.0000, 0.5000, 0.5000], [0.0686, 0.0686, 0.0000], [0.1353, 0.6353, 0.5000], [0.2128, 0.2128, 0.0000], [0.3647, 0.8647, 0.5000], [0.5000, 0.0000, 0.5000], [0.6353, 0.1353, 0.5000], [0.7872, 0.7872, 0.0000], [0.8647, 0.3647, 0.5000], [0.9314, 0.9314, 0.0000], [0.2998, 0.2998, 0.0000], [0.4324, 0.4324, 0.0000], [0.5676, 0.5676, 0.0000], [0.7002, 0.7002, 0.0000], [0.0000, 0.0000, 0.0000], [0.1298, 0.1298, 0.0000], [0.8702, 0.8702, 0.0000]]}

***

{"formula": "Pm2Pa", "functional": "PBE", "state": "relaxed", "e_form_mev_per_atom": 419, "final_energy_ev_per_atom": -5.9138, "n_ef_per_ev_cell": 7.900, "lattice_angstrom": [[0.0000, 2.8760, 5.5180], [2.8692, 0.0000, 5.5180], [2.8692, 2.8760, 0.0000]], "species": ["Pm", "Pm", "Pa"], "frac_coords": [[0.1600, 0.1600, 0.8400], [0.8400, 0.8400, 0.1600], [0.5000, 0.5000, 0.5000]]}

***

{"formula": "NaP2WCl", "functional": "PBE", "state": "relaxed", "final_energy_ev_per_atom": -3.5286, "n_ef_per_ev_cell": 8.558, "e_form_raw_ev_per_fu": 9.30, "lattice_angstrom": [[4.7600, 0.0000, 0.0000], [0.0000, 4.7600, 0.0000], [0.0000, 0.0000, 4.4782]], "species": ["Na", "P", "P", "W", "Cl"], "frac_coords": [[0.0000, 0.0000, 0.0000], [0.0000, 0.5000, 0.0000], [0.5000, 0.0000, 0.0000], [0.5000, 0.5000, 0.5000], [0.0000, 0.0000, 0.5000]]}

***

{"formula": "TbZrPa", "functional": "PBE", "state": "relaxed", "e_form_mev_per_atom": 196, "final_energy_ev_per_atom": -7.3626, "n_ef_per_ev_cell": 4.257, "lattice_angstrom": [[5.2350, 0.0000, 0.0000], [-2.6175, 4.5336, 0.0000], [0.0000, 0.0000, 3.3433]], "species": ["Tb", "Zr", "Pa"], "frac_coords": [[0.0000, 0.0000, 0.0000], [0.3333, 0.6667, 0.5000], [0.6667, 0.3333, 0.5000]]}